No. 1
The following is a DFT calculation (GGA-PBE) of a relaxed structure of AlAg.

Cell lengths 4.1781, 4.1781, 4.1781 Å; angles 60.00, 60.00, 60.00 degrees
Closest atoms and distances in Å follow each position.
Element x y z (fractional)
Al 0.7500 0.7500 0.7500  4 Ag 2.56
Ag 0.0000 0.0000 0.0000  4 Al 2.56

Values from the calculation:
The total DFT energy (no corrections) comes out at -5.53 eV/cell. For the formation enthalpy at 0 K, the calculation gives 0.5329 eV/atom.

No. 2
The following is a DFT calculation (GGA-PBE) of a relaxed structure of AlAg.

Cell lengths 4.0500, 8.8378, 4.0218 Å; angles 103.15, 90.00, 103.25 degrees
Closest atoms and distances in Å follow each position.
Element x y z (fractional)
Ag 0.9992 0.9985 0.9992  8 Al 2.85-2.92, 4 Ag 2.88-2.91
Ag 0.6240 0.2480 0.1240  8 Al 2.85-2.90, 4 Ag 2.91-2.93
Ag 0.2510 0.5020 0.2510  8 Al 2.85-2.90, 4 Ag 2.91-2.93
Ag 0.8758 0.7515 0.3758  8 Al 2.85-2.92, 4 Ag 2.88-2.91
Al 0.5011 0.0021 0.5011  8 Ag 2.85-2.91, 4 Al 2.91-2.93
Al 0.1259 0.2518 0.6259  8 Ag 2.85-2.92, 4 Al 2.89-2.91
Al 0.7491 0.4982 0.7491  8 Ag 2.85-2.92, 4 Al 2.89-2.91
Al 0.3739 0.7479 0.8739  8 Ag 2.85-2.91, 4 Al 2.91-2.93

Values from the calculation:
The total DFT energy (no corrections) comes out at -26.39 eV/cell. For the formation enthalpy at 0 K, the calculation gives -0.0013 eV/atom.

No. 3
The following is a DFT calculation (GGA-PBE) of a relaxed structure of Al5Ag3.

Cell lengths 4.0751, 8.7098, 4.0751 Å; angles 103.53, 90.00, 103.53 degrees
Closest atoms and distances in Å follow each position.
Element x y z (fractional)
Ag 0.9967 0.9934 0.9967  8 Al 2.85-2.93, 4 Ag 2.88
Ag 0.2500 0.5000 0.2500  12 Al 2.88-2.90
Ag 0.5033 0.0066 0.5033  8 Al 2.85-2.93, 4 Ag 2.88
Al 0.6246 0.2491 0.1246  6 Ag 2.85-2.93, 6 Al 2.88-2.90
Al 0.8754 0.7509 0.3754  6 Ag 2.85-2.93, 6 Al 2.88-2.90
Al 0.1246 0.2491 0.6246  6 Ag 2.85-2.93, 6 Al 2.88-2.90
Al 0.7500 0.5000 0.7500  4 Ag 2.88, 8 Al 2.90
Al 0.3754 0.7509 0.8754  6 Ag 2.85-2.93, 6 Al 2.88-2.90

Values from the calculation:
The total DFT energy (no corrections) comes out at -27.18 eV/cell. For the formation enthalpy at 0 K, the calculation gives 0.0112 eV/atom. For the polymorph energy (0 for the lowest one), the calculation gives 0.41 eV/f.u.

No. 4
The following is a DFT calculation (GGA-PBE) of a relaxed structure of AlAg.

Cell lengths 16.1784, 2.9054, 2.9054 Å; angles 90.00, 90.00, 90.00 degrees
Closest atoms and distances in Å follow each position.
Element x y z (fractional)
Ag 0.9874 0.0000 0.0000  4 Al 2.82, 8 Ag 2.91-2.99
Ag 0.1219 0.5000 0.5000  12 Ag 2.91-2.99
Ag 0.2531 0.0000 0.0000  12 Ag 2.91-2.99
Ag 0.3876 0.5000 0.5000  4 Al 2.82, 8 Ag 2.91-2.99
Al 0.5068 0.0000 0.0000  4 Ag 2.82, 8 Al 2.83-2.91
Al 0.6273 0.5000 0.5000  12 Al 2.83-2.91
Al 0.7477 0.0000 0.0000  12 Al 2.83-2.91
Al 0.8682 0.5000 0.5000  4 Ag 2.82, 8 Al 2.83-2.91

Values from the calculation:
The total DFT energy (no corrections) comes out at -26.43 eV/cell. For the formation enthalpy at 0 K, the calculation gives -0.0064 eV/atom.

No. 5
The following is a DFT calculation (GGA-PBE) of a relaxed structure of Al3Ag5.

Cell lengths 2.9792, 7.8251, 6.1183 Å; angles 87.92, 104.09, 100.97 degrees
Closest atoms and distances in Å follow each position.
Element x y z (fractional)
Ag 0.9876 0.0029 0.9722  5 Al 2.76-2.89, 7 Ag 2.96-3.02
Ag 0.7553 0.1210 0.3897  4 Al 2.78-2.81, 8 Ag 2.96-3.02
Ag 0.2447 0.3790 0.1103  4 Al 2.78-2.81, 8 Ag 2.96-3.02
Ag 0.0124 0.4971 0.5278  5 Al 2.76-2.89, 7 Ag 2.96-3.02
Ag 0.5000 0.7500 0.2500  4 Al 2.78, 8 Ag 2.96-2.98
Al 0.5000 0.2500 0.7500  8 Ag 2.76-2.78, 4 Al 2.98-3.03
Al 0.7577 0.6323 0.8832  7 Ag 2.77-2.89, 5 Al 2.84-3.03
Al 0.2423 0.8677 0.6168  7 Ag 2.77-2.89, 5 Al 2.84-3.03

Values from the calculation:
The total DFT energy (no corrections) comes out at -25.88 eV/cell. For the formation enthalpy at 0 K, the calculation gives -0.0499 eV/atom. For the polymorph energy (0 for the lowest one), the calculation gives 0.00 eV/f.u.

No. 6
The following is a DFT calculation (GGA-PBE) of a relaxed structure of AlAg2.

Cell lengths 4.3650, 4.3650, 4.3650 Å; angles 60.00, 60.00, 60.00 degrees
Closest atoms and distances in Å follow each position.
Element x y z (fractional)
Al 0.0000 0.0000 0.0000  8 Ag 2.67
Ag 0.7500 0.7500 0.7500  4 Al 2.67
Ag 0.2500 0.2500 0.2500  4 Al 2.67

Values from the calculation:
The total DFT energy (no corrections) comes out at -9.11 eV/cell. For the formation enthalpy at 0 K, the calculation gives 0.1123 eV/atom.

No. 7
The following is a DFT calculation (GGA-PBE) of a relaxed structure of AlAg.

Cell lengths 2.9259, 18.5199, 2.9259 Å; angles 85.47, 120.00, 94.53 degrees
Closest atoms and distances in Å follow each position.
Element x y z (fractional)
Ag 0.9979 0.9937 0.0021  3 Al 2.79, 9 Ag 2.93-2.96
Ag 0.3752 0.1256 0.6248  12 Ag 2.93-2.96
Ag 0.7524 0.2573 0.2476  3 Al 2.78, 9 Ag 2.93-2.96
Ag 0.5001 0.5004 0.4999  6 Al 2.83, 6 Ag 2.93
Al 0.1258 0.3774 0.8742  6 Ag 2.78-2.83, 6 Al 2.93
Al 0.8745 0.6235 0.1255  3 Ag 2.83, 9 Al 2.86-2.93
Al 0.2495 0.7486 0.7505  12 Al 2.85-2.93
Al 0.6245 0.8734 0.3755  3 Ag 2.79, 9 Al 2.85-2.93

Values from the calculation:
The total DFT energy (no corrections) comes out at -26.44 eV/cell. For the formation enthalpy at 0 K, the calculation gives -0.0077 eV/atom.

No. 8
The following is a DFT calculation (GGA-PBE) of a relaxed structure of Al5Ag4.

Cell lengths 2.9904, 4.9125, 11.0609 Å; angles 91.23, 97.77, 107.72 degrees
Closest atoms and distances in Å follow each position.
Element x y z (fractional)
Ag 0.9953 0.9968 0.9938  8 Al 2.75-2.92, 4 Ag 2.99
Ag 0.6714 0.1143 0.2285  8 Al 2.75-2.92, 4 Ag 2.99
Ag 0.0037 0.3328 0.6746  7 Al 2.72-2.89, 5 Ag 2.86-2.99
Ag 0.6630 0.7783 0.5476  7 Al 2.72-2.89, 5 Ag 2.86-2.99
Al 0.3396 0.2286 0.4506  7 Ag 2.72-2.89, 5 Al 2.86-2.99
Al 0.6674 0.4444 0.8905  5 Ag 2.75-2.87, 7 Al 2.86-2.99
Al 0.3333 0.5556 0.1111  6 Ag 2.84-2.92, 6 Al 2.86-2.99
Al 0.9993 0.6668 0.3318  5 Ag 2.75-2.87, 7 Al 2.86-2.99
Al 0.3271 0.8825 0.7717  7 Ag 2.72-2.89, 5 Al 2.86-2.99

Values from the calculation:
The total DFT energy (no corrections) comes out at -30.22 eV/cell. For the formation enthalpy at 0 K, the calculation gives -0.0118 eV/atom. For the polymorph energy (0 for the lowest one), the calculation gives 0.16 eV/f.u.